VASP calculation (PBE-GGA) on a relaxed PrNdPI2 crystal.

Results
- VASP energy: -5.143 eV per atom

a b c (Å): 4.2600 4.2600 11.3334
angles (deg): 90.00 90.00 120.00
Last column: nearest neighbours and their distance in Å.
Element x y z (fractional)
I (0.3333, 0.6667, 0.3248)  3 Nd 3.24
I (0.0000, 0.0000, 0.6731)  3 Pr 3.25
Nd (0.0000, 0.0000, 0.1391)  3 P 2.91, 3 I 3.24
P (0.6667, 0.3333, 0.0018)  3 Nd 2.91, 3 Pr 2.93
Pr (0.3333, 0.6667, 0.8612)  3 P 2.93, 3 I 3.25



VASP calculation (PBE-GGA) on a relaxed PmNdS2I2 crystal.

Results
- VASP energy: -5.202 eV per atom

a b c (Å): 4.7994 4.7994 7.7551
angles (deg): 90.00 90.00 90.00
Last column: nearest neighbours and their distance in Å.
Element x y z (fractional)
I (0.5000, 0.5000, 0.3811)  1 Pm 3.36, 4 Nd 3.71
I (0.0000, 0.0000, 0.6198)  1 Nd 3.35, 4 Pm 3.71
Nd (0.0000, 0.0000, 0.1875)  4 S 2.81
Pm (0.5000, 0.5000, 0.8145)  4 S 2.79
S (0.5000, 0.0000, 0.9986)  2 Pm 2.79, 2 Nd 2.81
S (0.0000, 0.5000, 0.9986)  2 Pm 2.79, 2 Nd 2.81



VASP calculation (PBE-GGA) on a relaxed Pr3NdI crystal.

Results
- VASP energy: -4.110 eV per atom

a b c (Å): 5.9164 5.9164 5.9164
angles (deg): 90.00 90.00 90.00
Last column: nearest neighbours and their distance in Å.
Element x y z (fractional)
I (0.0000, 0.0000, 0.0000)  6 Pr 2.96
Nd (0.5000, 0.5000, 0.5000)  12 Pr 4.18
Pr (0.5000, 0.0000, 0.0000)  2 I 2.96
Pr (0.0000, 0.5000, 0.0000)  2 I 2.96
Pr (0.0000, 0.0000, 0.5000)  2 I 2.96



VASP calculation (PBE-GGA) on a relaxed PrNdI6 crystal.

Results
- VASP energy: -3.772 eV per atom

a b c (Å): 10.0564 7.6966 7.6966
angles (deg): 32.81 90.00 90.00
Last column: nearest neighbours and their distance in Å.
Element x y z (fractional)
I (0.1822, 0.1504, 0.1504)  2 Nd 3.26, 1 Pr 3.47
I (0.8178, 0.1504, 0.1504)  2 Nd 3.26, 1 Pr 3.47
I (0.0000, 0.4132, 0.4132)  2 Nd 3.15
I (0.5000, 0.5853, 0.5853)  2 Pr 3.17
I (0.3165, 0.8503, 0.8503)  2 Pr 3.27, 1 Nd 3.46
I (0.6835, 0.8503, 0.8503)  2 Pr 3.27, 1 Nd 3.46
Nd (0.0000, 0.7587, 0.7587)  8 I 3.15-3.46
Pr (0.5000, 0.2414, 0.2414)  8 I 3.17-3.47



VASP calculation (PBE-GGA) on a relaxed PrNdTl2I2 crystal.

Results
- VASP energy: -3.723 eV per atom

a b c (Å): 4.6909 4.6909 11.9030
angles (deg): 90.00 90.00 120.00
Last column: nearest neighbours and their distance in Å.
Element x y z (fractional)
I (0.6667, 0.3333, 0.3425)  3 Nd 3.30
I (0.3333, 0.6667, 0.6555)  3 Pr 3.31
Nd (0.0000, 0.0000, 0.1843)  3 Tl 3.14, 3 I 3.30
Pr (0.0000, 0.0000, 0.8155)  3 Tl 3.16, 3 I 3.31
Tl (0.3333, 0.6667, 0.0504)  3 Tl 2.95, 3 Nd 3.14
Tl (0.6667, 0.3333, 0.9518)  3 Tl 2.95, 3 Pr 3.16



VASP calculation (PBE-GGA) on a relaxed NdPuSbI2 crystal.

Results
- VASP energy: -6.395 eV per atom

a b c (Å): 4.4559 4.4559 11.5183
angles (deg): 90.00 90.00 120.00
Last column: nearest neighbours and their distance in Å.
Element x y z (fractional)
I (0.0000, 0.0000, 0.3217)  3 Pu 3.20
I (0.3333, 0.6667, 0.6735)  3 Nd 3.25
Nd (0.0000, 0.0000, 0.8464)  3 Sb 3.13, 3 I 3.25
Pu (0.3333, 0.6667, 0.1566)  3 Sb 3.13, 3 I 3.20
Sb (0.6667, 0.3333, 0.0017)  3 Pu 3.13, 3 Nd 3.13



VASP calculation (PBE-GGA) on a relaxed RbNdI3 crystal.

Results
- VASP energy: -3.432 eV per atom

a b c (Å): 10.4726 4.4461 18.2321
angles (deg): 90.00 90.00 90.00
Last column: nearest neighbours and their distance in Å.
Element x y z (fractional)
I (0.8342, 0.7500, 0.0088)  2 Nd 3.22
I (0.5455, 0.2500, 0.1249)  3 Nd 3.21-3.25
I (0.2171, 0.7500, 0.1972)  1 Nd 3.21
I (0.7171, 0.7500, 0.3028)  1 Nd 3.21
I (0.0455, 0.2500, 0.3751)  3 Nd 3.21-3.25
I (0.3342, 0.7500, 0.4912)  2 Nd 3.22
I (0.6658, 0.2500, 0.5088)  2 Nd 3.22
I (0.9545, 0.7500, 0.6249)  3 Nd 3.21-3.25
I (0.2829, 0.2500, 0.6972)  1 Nd 3.21
I (0.7829, 0.2500, 0.8028)  1 Nd 3.21
I (0.4545, 0.7500, 0.8751)  3 Nd 3.21-3.25
I (0.1658, 0.2500, 0.9912)  2 Nd 3.22
Nd (0.3685, 0.7500, 0.0440)  6 I 3.21-3.25
Nd (0.8685, 0.7500, 0.4560)  6 I 3.21-3.25
Nd (0.1315, 0.2500, 0.5440)  6 I 3.21-3.25
Nd (0.6315, 0.2500, 0.9560)  6 I 3.21-3.25
Rb (0.9223, 0.2500, 0.1764)  9 I 3.82-4.23
Rb (0.4223, 0.2500, 0.3236)  9 I 3.82-4.23
Rb (0.5777, 0.7500, 0.6764)  9 I 3.82-4.23
Rb (0.0777, 0.7500, 0.8236)  9 I 3.82-4.23



VASP calculation (PBE-GGA) on a relaxed NdS2I2 crystal.

Results
- VASP energy: -4.310 eV per atom

a b c (Å): 8.1638 8.1645 8.2865
angles (deg): 100.57 97.78 119.03
Last column: nearest neighbours and their distance in Å.
Element x y z (fractional)
I (0.5730, 0.0290, 0.2594)  2 Nd 3.12-3.19
I (0.0208, 0.5814, 0.2599)  2 Nd 3.12-3.19
I (0.9792, 0.4186, 0.7401)  2 Nd 3.12-3.19
I (0.4270, 0.9710, 0.7406)  2 Nd 3.12-3.19
Nd (0.8308, 0.1691, 0.0000)  4 S 2.93-2.94, 4 I 3.12-3.19
Nd (0.1692, 0.8309, 0.0000)  4 S 2.93-2.94, 4 I 3.12-3.19
S (0.2162, 0.2177, 0.0508)  1 S 1.99
S (0.0863, 0.0934, 0.2183)  1 S 1.99
S (0.9137, 0.9066, 0.7817)  1 S 1.99
S (0.7838, 0.7823, 0.9492)  1 S 1.99



VASP calculation (PBE-GGA) on a relaxed NdSbI6 crystal.

Results
- VASP energy: -3.149 eV per atom

a b c (Å): 7.7642 7.7642 7.7194
angles (deg): 99.38 99.38 120.07
Last column: nearest neighbours and their distance in Å.
Element x y z (fractional)
I (0.5871, 0.9324, 0.2427)  1 Sb 3.04, 1 Nd 3.13
I (0.9235, 0.5695, 0.2433)  1 Sb 3.05, 1 Nd 3.13
I (0.2231, 0.2316, 0.2485)  1 Sb 3.06, 1 Nd 3.14
I (0.7684, 0.7769, 0.7515)  1 Sb 3.06, 1 Nd 3.14
I (0.4305, 0.0765, 0.7567)  1 Sb 3.05, 1 Nd 3.13
I (0.0676, 0.4129, 0.7573)  1 Sb 3.04, 1 Nd 3.13
Nd (0.1663, 0.8337, 0.0000)  6 I 3.13-3.14
Sb (0.8336, 0.1664, 0.0000)  6 I 3.04-3.06



VASP calculation (PBE-GGA) on a relaxed NdSmSbI2 crystal.

Results
- VASP energy: -4.664 eV per atom

a b c (Å): 4.4418 4.4418 11.4727
angles (deg): 90.00 90.00 120.00
Last column: nearest neighbours and their distance in Å.
Element x y z (fractional)
I (0.3333, 0.6667, 0.3275)  3 Nd 3.26
I (0.6667, 0.3333, 0.6760)  3 Sm 3.23
Nd (0.6667, 0.3333, 0.1521)  3 Sb 3.12, 3 I 3.26
Sb (0.0000, 0.0000, 0.9970)  3 Sm 3.09, 3 Nd 3.12
Sm (0.3333, 0.6667, 0.8474)  3 Sb 3.09, 3 I 3.23



VASP calculation (PBE-GGA) on a relaxed TbNdSbI2 crystal.

Results
- VASP energy: -4.627 eV per atom

a b c (Å): 4.4039 4.4039 11.3882
angles (deg): 90.00 90.00 120.00
Last column: nearest neighbours and their distance in Å.
Element x y z (fractional)
I (0.0000, 0.0000, 0.3293)  3 Nd 3.25
I (0.3333, 0.6667, 0.6784)  3 Tb 3.19
Nd (0.3333, 0.6667, 0.1514)  3 Sb 3.12, 3 I 3.25
Sb (0.6667, 0.3333, 0.9931)  3 Tb 3.03, 3 Nd 3.12
Tb (0.0000, 0.0000, 0.8478)  3 Sb 3.03, 3 I 3.19



VASP calculation (PBE-GGA) on a relaxed NdUSbI2 crystal.

Results
- VASP energy: -5.525 eV per atom

a b c (Å): 4.3477 4.3477 11.7495
angles (deg): 90.00 90.00 120.00
Last column: nearest neighbours and their distance in Å.
Element x y z (fractional)
I (0.0000, 0.0000, 0.3235)  3 U 3.20
I (0.3333, 0.6667, 0.6720)  3 Nd 3.24
Nd (0.0000, 0.0000, 0.8467)  3 Sb 3.11, 3 I 3.24
Sb (0.6667, 0.3333, 0.0031)  3 U 3.08, 3 Nd 3.11
U (0.3333, 0.6667, 0.1547)  3 Sb 3.08, 3 I 3.20



VASP calculation (PBE-GGA) on a relaxed NdYSbI2 crystal.

Results
- VASP energy: -4.999 eV per atom

a b c (Å): 4.4064 4.4064 11.3941
angles (deg): 90.00 90.00 120.00
Last column: nearest neighbours and their distance in Å.
Element x y z (fractional)
I (0.3333, 0.6667, 0.3293)  3 Nd 3.25
I (0.6667, 0.3333, 0.6790)  3 Y 3.19
Nd (0.6667, 0.3333, 0.1512)  3 Sb 3.12, 3 I 3.25
Sb (0.0000, 0.0000, 0.9924)  3 Y 3.03, 3 Nd 3.12
Y (0.3333, 0.6667, 0.8481)  3 Sb 3.03, 3 I 3.19



VASP calculation (PBE-GGA) on a relaxed NdSeI crystal.

Results
- VASP energy: -4.940 eV per atom

a b c (Å): 7.3974 7.5441 7.3448
angles (deg): 90.00 99.65 90.00
Last column: nearest neighbours and their distance in Å.
Element x y z (fractional)
I (0.9138, 0.8845, 0.2133)  3 Nd 3.27-3.36
I (0.0862, 0.3845, 0.2867)  3 Nd 3.27-3.36
I (0.9138, 0.6155, 0.7133)  3 Nd 3.27-3.36
I (0.0862, 0.1155, 0.7867)  3 Nd 3.27-3.36
Nd (0.3270, 0.0363, 0.2085)  4 Se 2.96-2.97, 2 I 3.27-3.28
Nd (0.6730, 0.5363, 0.2915)  4 Se 2.96-2.97, 2 I 3.27-3.28
Nd (0.3270, 0.4637, 0.7085)  4 Se 2.96-2.97, 2 I 3.27-3.28
Nd (0.6730, 0.9637, 0.7915)  4 Se 2.96-2.97, 2 I 3.27-3.28
Se (0.5588, 0.2616, 0.0082)  4 Nd 2.96-2.97
Se (0.4412, 0.7616, 0.4918)  4 Nd 2.96-2.97
Se (0.5588, 0.2384, 0.5082)  4 Nd 2.96-2.97
Se (0.4412, 0.7384, 0.9918)  4 Nd 2.96-2.97



VASP calculation (PBE-GGA) on a relaxed Nd4SiI5 crystal.

Results
- VASP energy: -4.466 eV per atom

a b c (Å): 10.0611 10.0611 9.0930
angles (deg): 102.42 102.42 24.79
Last column: nearest neighbours and their distance in Å.
Element x y z (fractional)
I (0.8288, 0.8288, 0.1737)  4 Nd 3.23-3.49
I (0.1665, 0.1665, 0.3367)  3 Nd 3.18-3.22
I (0.5000, 0.5000, 0.5000)  4 Nd 3.38
I (0.8335, 0.8335, 0.6633)  3 Nd 3.18-3.22
I (0.1712, 0.1712, 0.8263)  4 Nd 3.23-3.49
Nd (0.6470, 0.6470, 0.0737)  1 Si 2.82
Nd (0.9997, 0.9997, 0.2136)  2 Si 2.91, 1 I 3.22
Nd (0.0003, 0.0003, 0.7864)  2 Si 2.91, 1 I 3.22
Nd (0.3530, 0.3530, 0.9263)  1 Si 2.82
Si (0.5000, 0.5000, 0.0000)  6 Nd 2.82-2.91



VASP calculation (PBE-GGA) on a relaxed Nd2SiI crystal.

Results
- VASP energy: -5.076 eV per atom

a b c (Å): 8.0946 8.0946 8.0946
angles (deg): 31.04 31.04 31.04
Last column: nearest neighbours and their distance in Å.
Element x y z (fractional)
I (0.5000, 0.5000, 0.5000)  6 Nd 3.41
Nd (0.2673, 0.2673, 0.2673)  3 Si 2.93
Nd (0.7327, 0.7327, 0.7327)  3 Si 2.93
Si (0.0000, 0.0000, 0.0000)  6 Nd 2.93



VASP calculation (PBE-GGA) on a relaxed TbNdSi2I2 crystal.

Results
- VASP energy: -4.937 eV per atom

a b c (Å): 4.1579 4.1579 12.3731
angles (deg): 90.00 90.00 120.00
Last column: nearest neighbours and their distance in Å.
Element x y z (fractional)
I (0.3333, 0.6667, 0.1694)  3 Nd 3.22
I (0.6667, 0.3333, 0.8219)  3 Tb 3.15
Nd (0.0000, 0.0000, 0.3431)  6 Si 3.07-3.17, 3 I 3.22
Si (0.6667, 0.3333, 0.4982)  3 Si 2.41
Si (0.3333, 0.6667, 0.5107)  3 Si 2.41
Tb (0.0000, 0.0000, 0.6566)  6 Si 3.00-3.10, 3 I 3.15



VASP calculation (PBE-GGA) on a relaxed Tb3NdI crystal.

Results
- VASP energy: -3.932 eV per atom

a b c (Å): 5.6953 5.6953 5.6953
angles (deg): 90.00 90.00 90.00
Last column: nearest neighbours and their distance in Å.
Element x y z (fractional)
I (0.0000, 0.0000, 0.0000)  6 Tb 2.85
Nd (0.5000, 0.5000, 0.5000)  12 Tb 4.03
Tb (0.5000, 0.0000, 0.0000)  2 I 2.85
Tb (0.0000, 0.5000, 0.0000)  2 I 2.85
Tb (0.0000, 0.0000, 0.5000)  2 I 2.85



VASP calculation (PBE-GGA) on a relaxed NdYI6 crystal.

Results
- VASP energy: -3.982 eV per atom

a b c (Å): 7.8107 7.8107 7.7742
angles (deg): 99.37 99.37 120.06
Last column: nearest neighbours and their distance in Å.
Element x y z (fractional)
I (0.5871, 0.9341, 0.2407)  1 Y 3.05, 1 Nd 3.14
I (0.9250, 0.5687, 0.2415)  1 Y 3.05, 1 Nd 3.14
I (0.2202, 0.2296, 0.2462)  1 Y 3.05, 1 Nd 3.15
I (0.7704, 0.7798, 0.7538)  1 Y 3.05, 1 Nd 3.15
I (0.4313, 0.0750, 0.7585)  1 Y 3.05, 1 Nd 3.14
I (0.0659, 0.4129, 0.7593)  1 Y 3.05, 1 Nd 3.14
Nd (0.1662, 0.8338, 0.0000)  6 I 3.14-3.15
Y (0.8338, 0.1662, 0.0000)  6 I 3.05



VASP calculation (PBE-GGA) on a relaxed Nd2Zn2I crystal.

Results
- VASP energy: -3.352 eV per atom

a b c (Å): 4.3992 4.3992 8.1123
angles (deg): 90.00 90.00 120.00
Last column: nearest neighbours and their distance in Å.
Element x y z (fractional)
I (0.6667, 0.3333, 0.0000)  6 Nd 3.37
Nd (0.0000, 0.0000, 0.2738)  6 Zn 3.13, 3 I 3.37
Nd (0.0000, 0.0000, 0.7262)  6 Zn 3.13, 3 I 3.37
Zn (0.6667, 0.3333, 0.5000)  3 Zn 2.54
Zn (0.3333, 0.6667, 0.5000)  3 Zn 2.54



VASP calculation (PBE-GGA) on a relaxed Nd4ZnI5 crystal.

Results
- VASP energy: -3.873 eV per atom

a b c (Å): 10.0211 10.0211 9.2581
angles (deg): 102.19 102.19 24.31
Last column: nearest neighbours and their distance in Å.
Element x y z (fractional)
I (0.8272, 0.8272, 0.1764)  4 Nd 3.24-3.38
I (0.1670, 0.1670, 0.3402)  3 Nd 3.20-3.22
I (0.5000, 0.5000, 0.5000)  4 Nd 3.32
I (0.8330, 0.8330, 0.6598)  3 Nd 3.20-3.22
I (0.1728, 0.1728, 0.8236)  4 Nd 3.24-3.38
Nd (0.6508, 0.6508, 0.0756)  1 Zn 2.89, 2 I 3.20
Nd (0.9998, 0.9998, 0.2228)  2 Zn 2.95, 1 I 3.22
Nd (0.0002, 0.0002, 0.7772)  2 Zn 2.95, 1 I 3.22
Nd (0.3492, 0.3492, 0.9244)  1 Zn 2.89, 2 I 3.20
Zn (0.5000, 0.5000, 0.0000)  6 Nd 2.89-2.95



VASP calculation (PBE-GGA) on a relaxed Ni3I4 crystal.

Results
- VASP energy: -3.263 eV per atom

a b c (Å): 5.8086 5.8086 5.8570
angles (deg): 90.00 90.00 90.00
Last column: nearest neighbours and their distance in Å.
Element x y z (fractional)
I (0.7484, 0.2516, 0.2490)  3 Ni 2.53
I (0.2516, 0.7484, 0.2490)  3 Ni 2.53
I (0.2516, 0.2516, 0.7510)  3 Ni 2.53
I (0.7484, 0.7484, 0.7510)  3 Ni 2.53
Ni (0.0000, 0.0000, 0.0000)  4 I 2.53
Ni (0.5000, 0.0000, 0.5000)  4 I 2.53
Ni (0.0000, 0.5000, 0.5000)  4 I 2.53



VASP calculation (PBE-GGA) on a relaxed Ni2I crystal.

Results
- VASP energy: -3.463 eV per atom

a b c (Å): 5.1228 5.1228 5.1228
angles (deg): 60.00 60.00 60.00
Last column: nearest neighbours and their distance in Å.
Element x y z (fractional)
I (0.0000, 0.0000, 0.0000)  12 Ni 3.00, 4 I 3.14
I (0.2500, 0.2500, 0.2500)  12 Ni 3.00, 4 I 3.14
Ni (0.6250, 0.6250, 0.1250)  6 Ni 2.56
Ni (0.6250, 0.1250, 0.6250)  6 Ni 2.56
Ni (0.1250, 0.6250, 0.6250)  6 Ni 2.56
Ni (0.6250, 0.6250, 0.6250)  6 Ni 2.56



VASP calculation (PBE-GGA) on a relaxed Ni3I4 crystal.

Results
- VASP energy: -3.262 eV per atom

a b c (Å): 7.1530 7.1530 7.1530
angles (deg): 131.56 131.56 70.93
Last column: nearest neighbours and their distance in Å.
Element x y z (fractional)
I (0.8777, 0.3737, 0.0000)  3 Ni 2.53
I (0.3737, 0.8777, 0.0000)  3 Ni 2.53
I (0.1223, 0.1223, 0.4960)  3 Ni 2.53
I (0.6263, 0.6263, 0.5040)  3 Ni 2.53
Ni (0.0000, 0.0000, 0.0000)  4 I 2.53
Ni (0.7500, 0.2500, 0.5000)  4 I 2.53
Ni (0.2500, 0.7500, 0.5000)  4 I 2.53



VASP calculation (PBE-GGA) on a relaxed Pm7NiI12 crystal.

Results
- VASP energy: -4.099 eV per atom

a b c (Å): 9.9054 9.9054 9.9054
angles (deg): 107.41 107.41 107.41
Last column: nearest neighbours and their distance in Å.
Element x y z (fractional)
I (0.6814, 0.2258, 0.0745)  3 Pm 3.17-3.43
I (0.3902, 0.4714, 0.1566)  3 Pm 3.14-3.25
I (0.0745, 0.6814, 0.2258)  3 Pm 3.17-3.43
I (0.7742, 0.9255, 0.3186)  3 Pm 3.17-3.43
I (0.4714, 0.1566, 0.3902)  3 Pm 3.14-3.25
I (0.1566, 0.3902, 0.4714)  3 Pm 3.14-3.25
I (0.8434, 0.6098, 0.5286)  3 Pm 3.14-3.25
I (0.5286, 0.8434, 0.6098)  3 Pm 3.14-3.25
I (0.2258, 0.0745, 0.6814)  3 Pm 3.17-3.43
I (0.9255, 0.3186, 0.7742)  3 Pm 3.17-3.43
I (0.6098, 0.5286, 0.8434)  3 Pm 3.14-3.25
I (0.3186, 0.7742, 0.9255)  3 Pm 3.17-3.43
Ni (0.0000, 0.0000, 0.0000)  6 Pm 2.75
Pm (0.3021, 0.1018, 0.0304)  1 Ni 2.75
Pm (0.0304, 0.3021, 0.1018)  1 Ni 2.75
Pm (0.1018, 0.0304, 0.3021)  1 Ni 2.75
Pm (0.5000, 0.5000, 0.5000)  6 I 3.14
Pm (0.8982, 0.9696, 0.6979)  1 Ni 2.75
Pm (0.9696, 0.6979, 0.8982)  1 Ni 2.75
Pm (0.6979, 0.8982, 0.9696)  1 Ni 2.75